1.
A relaxed structure of DyPa2. Source: Alexandria via LeMat-Bulk, functional PBE.

Results
SG = I4/mmm
DFT formation energy = 23.9 kJ/mol of atoms
total DFT energy (no corrections) = -22.851 eV for the cell shown
spin magnetization = 0.00 μB/f.u.
E above lowest polymorph = 16 meV per atom

a b c (Å): 3.6018 3.6018 6.7463
angles (deg): 105.48 105.48 90.00
Fractional coordinates of all 3 atoms:
Pa 0.3133 0.3133 0.6266
Pa 0.6867 0.6867 0.3734
Dy 0.0000 0.0000 0.0000

***

2.
A relaxed structure of LaCeLuMg. Source: Alexandria via LeMat-Bulk, functional PBE.

Results
SG = F-43m
DFT formation energy = 7.7 kJ/mol of atoms
total DFT energy (no corrections) = -16.657 eV for the cell shown
spin magnetization = 1.21 μB/f.u.

a b c (Å): 5.5726 5.5726 5.5726
angles (deg): 60.00 60.00 60.00
Last column: magnetic moment on the atom in μB.
Fractional coordinates of all 4 atoms:
Mg 0.0000 0.0000 0.0000  0.01
La 0.7500 0.7500 0.7500  -0.05
Lu 0.5000 0.5000 0.5000  -0.12
Ce 0.2500 0.2500 0.2500  -0.82

***

3.
A relaxed structure of Pm8Pr3Tm3. Source: Alexandria via LeMat-Bulk, functional PBE.

Results
SG = Immm
DFT formation energy = 9.4 kJ/mol of atoms
total DFT energy (no corrections) = -64.392 eV for the cell shown
spin magnetization = 0.00 μB/f.u.

a b c (Å): 5.7477 9.8218 9.8218
angles (deg): 102.20 73.00 73.00
Fractional coordinates of all 14 atoms:
Pm 0.8386 0.5594 0.7642
Pm 0.8386 0.7642 0.5594
Pm 0.6596 0.5604 0.1196
Pm 0.1614 0.4406 0.2358
Pm 0.3404 0.4396 0.8804
Pm 0.1614 0.2358 0.4406
Pm 0.3404 0.8804 0.4396
Pm 0.6596 0.1196 0.5604
Pr 0.0000 0.1805 0.8195
Pr 0.0000 0.8195 0.1805
Pr 0.5000 0.0000 0.0000
Tm 0.5000 0.5000 0.5000
Tm 0.2019 0.7983 0.7983
Tm 0.7981 0.2017 0.2017

***

4.
A relaxed structure of SmLu2Ag. Source: Alexandria via LeMat-Bulk, functional PBE.

Results
SG = P4/mmm
DFT formation energy = 1.5 kJ/mol of atoms
total DFT energy (no corrections) = -16.552 eV for the cell shown
spin magnetization = 0.00 μB/f.u.
E above lowest polymorph = 154 meV per atom

a b c (Å): 4.7983 4.7289 4.7289
angles (deg): 90.00 90.00 90.00
Fractional coordinates of all 4 atoms:
Lu 0.0000 0.5000 0.0000
Lu 0.0000 0.0000 0.5000
Ag 0.5000 0.5000 0.5000
Sm 0.5000 0.0000 0.0000

***

5.
A relaxed structure of Fe. Source: Alexandria via LeMat-Bulk, functional PBE.

Results
SG = I4/m
DFT formation energy = 36.8 kJ/mol of atoms
total DFT energy (no corrections) = -64.652 eV for the cell shown
spin magnetization = 0.00 μB/f.u.
E above lowest polymorph = 381 meV per atom

a b c (Å): 5.9319 5.9319 2.4587
angles (deg): 90.00 90.00 90.00
Fractional coordinates of all 8 atoms:
Fe 0.2337 0.4230 0.0000
Fe 0.7663 0.5770 0.0000
Fe 0.2663 0.0770 0.5000
Fe 0.4230 0.7663 0.0000
Fe 0.5770 0.2337 0.0000
Fe 0.7337 0.9230 0.5000
Fe 0.0770 0.7337 0.5000
Fe 0.9230 0.2663 0.5000

***

6.
A relaxed structure of Sm4Al2ZnCd. Source: Alexandria via LeMat-Bulk, functional PBE.

Results
SG = R-3m
DFT formation energy = -33.6 kJ/mol of atoms
total DFT energy (no corrections) = -31.333 eV for the cell shown
spin magnetization = 0.00 μB/f.u.

a b c (Å): 5.2512 5.2512 9.0892
angles (deg): 73.21 73.21 60.00
Fractional coordinates of all 8 atoms:
Sm 0.3787 0.3787 0.8638
Sm 0.1286 0.1286 0.6143
Sm 0.6213 0.6213 0.1362
Sm 0.8714 0.8714 0.3857
Al 0.7480 0.7480 0.7562
Al 0.2520 0.2520 0.2438
Cd 0.0000 0.0000 0.0000
Zn 0.5000 0.5000 0.5000

***

7.
A relaxed structure of SrGaTe2. Source: Alexandria via LeMat-Bulk, functional PBE.

Results
SG = I-42d
total DFT energy (no corrections) = -28.069 eV for the cell shown
spin magnetization = 0.00 μB/f.u.

a b c (Å): 6.9059 6.9059 8.7388
angles (deg): 66.73 66.73 90.00
Fractional coordinates of all 8 atoms:
Te 0.3750 0.4290 0.7500
Te 0.1790 0.6250 0.2500
Te 0.8750 0.8210 0.7500
Te 0.5710 0.1250 0.2500
Sr 0.7500 0.2500 0.5000
Sr 0.0000 0.0000 0.0000
Ga 0.2500 0.7500 0.5000
Ga 0.5000 0.5000 0.0000